The following is a PBE calculation of a relaxed LiGdScPt crystal, from Alexandria.

energy relative to the elements	-643.3	meV/atom
symmetry	F-43m (216)

abc: 4.8626 4.8626 4.8626
angles: 60.00 60.00 60.00
Atoms (fractional coordinates):
Li 0.0000 0.0000 0.0000
Gd 0.2500 0.2500 0.2500
Sc 0.7500 0.7500 0.7500
Pt 0.5000 0.5000 0.5000